1.
# MgSbHN2 | the Alexandria database | PBE | relaxed
# final energy: -17.12 eV for the cell shown
# calculated density: 3.50 g/cm3
data_MgSbHN2
_chemical_formula_sum 'Mg1 Sb1 H1 N2'
_space_group_name_H-M_alt 'P 4/m m m'
_space_group_IT_number 123
_space_group_name_Hall '-P 4 2'
_cell_length_a 3.838
_cell_length_b 3.838
_cell_length_c 5.646
_cell_angle_alpha 90.00
_cell_angle_beta 90.00
_cell_angle_gamma 90.00
loop_
_atom_site_label
_atom_site_type_symbol
_atom_site_fract_x
_atom_site_fract_y
_atom_site_fract_z
Mg1 Mg 0.000 0.000 0.000
Sb1 Sb 0.000 0.000 0.500
H1 H 0.500 0.500 0.500
N1 N 0.000 0.500 0.000

***

2.
# Mg2Sc6HN | the Alexandria database | PBE | relaxed
# final energy: -229.98 eV for the cell shown
# calculated density: 2.92 g/cm3
data_Mg2Sc6HN
_chemical_formula_sum 'Mg8 Sc24 H4 N4'
_space_group_name_H-M_alt 'F m -3 m'
_space_group_IT_number 225
_space_group_name_Hall '-F 4 2 3'
_cell_length_a 9.123
_cell_length_b 9.123
_cell_length_c 9.123
_cell_angle_alpha 90.00
_cell_angle_beta 90.00
_cell_angle_gamma 90.00
loop_
_atom_site_label
_atom_site_type_symbol
_atom_site_fract_x
_atom_site_fract_y
_atom_site_fract_z
Mg1 Mg 0.250 0.250 0.250
Sc1 Sc 0.000 0.000 0.242
H1 H 0.000 0.000 0.500
N1 N 0.000 0.000 0.000

***

3.
# MgHSe2N | the Alexandria database | PBE | relaxed
# ΔE to the lowest computed polymorph: 606 meV/atom
# calculated density: 2.94 g/cm3
data_MgHSe2N
_chemical_formula_sum 'Mg1 H1 Se2 N1'
_space_group_name_H-M_alt 'P 4/m m m'
_space_group_IT_number 123
_space_group_name_Hall '-P 4 2'
_cell_length_a 5.219
_cell_length_b 5.219
_cell_length_c 4.085
_cell_angle_alpha 90.00
_cell_angle_beta 90.00
_cell_angle_gamma 90.00
loop_
_atom_site_label
_atom_site_type_symbol
_atom_site_fract_x
_atom_site_fract_y
_atom_site_fract_z
Mg1 Mg 0.000 0.000 0.000
H1 H 0.500 0.500 0.500
Se1 Se 0.000 0.500 0.000
N1 N 0.000 0.000 0.500

***

4.
# MgHSeN2 | the Alexandria database | PBE | relaxed
# ΔE to the lowest computed polymorph: 0 meV/atom
# calculated density: 4.20 g/cm3
data_MgHSeN2
_chemical_formula_sum 'Mg1 H1 Se1 N2'
_space_group_name_H-M_alt 'P 4/m m m'
_space_group_IT_number 123
_space_group_name_Hall '-P 4 2'
_cell_length_a 4.005
_cell_length_b 4.005
_cell_length_c 3.258
_cell_angle_alpha 90.00
_cell_angle_beta 90.00
_cell_angle_gamma 90.00
loop_
_atom_site_label
_atom_site_type_symbol
_atom_site_fract_x
_atom_site_fract_y
_atom_site_fract_z
Mg1 Mg 0.000 0.000 0.000
H1 H 0.500 0.500 0.500
Se1 Se 0.500 0.500 0.000
N1 N 0.000 0.500 0.500

***

5.
# MgHSe2N | the Alexandria database | PBE | relaxed
# ΔE to the lowest computed polymorph: 0 meV/atom
# calculated density: 4.66 g/cm3
data_MgHSe2N
_chemical_formula_sum 'Mg1 H1 Se2 N1'
_space_group_name_H-M_alt 'P 4/m m m'
_space_group_IT_number 123
_space_group_name_Hall '-P 4 2'
_cell_length_a 5.046
_cell_length_b 5.046
_cell_length_c 2.760
_cell_angle_alpha 90.00
_cell_angle_beta 90.00
_cell_angle_gamma 90.00
loop_
_atom_site_label
_atom_site_type_symbol
_atom_site_fract_x
_atom_site_fract_y
_atom_site_fract_z
Mg1 Mg 0.000 0.000 0.000
H1 H 0.500 0.500 0.500
Se1 Se 0.000 0.500 0.500
N1 N 0.500 0.500 0.000

***

6.
# MgH2SeN | the Alexandria database | PBE | relaxed
# final energy: -16.03 eV for the cell shown
# calculated density: 2.93 g/cm3
data_MgH2SeN
_chemical_formula_sum 'Mg1 H2 Se1 N1'
_space_group_name_H-M_alt 'P 4/m m m'
_space_group_IT_number 123
_space_group_name_Hall '-P 4 2'
_cell_length_a 3.289
_cell_length_b 3.289
_cell_length_c 6.255
_cell_angle_alpha 90.00
_cell_angle_beta 90.00
_cell_angle_gamma 90.00
loop_
_atom_site_label
_atom_site_type_symbol
_atom_site_fract_x
_atom_site_fract_y
_atom_site_fract_z
Mg1 Mg 0.000 0.000 0.000
H1 H 0.000 0.500 0.000
Se1 Se 0.000 0.000 0.500
N1 N 0.500 0.500 0.500